A relaxed structure of BaAs2H, computed with PBE-GGA.

Excess energy over the best structure of this formula in the dataset = 0.000 eV/atom
M_tot = 0.00 μB/cell

a = 6.286 Å, b = 6.286 Å, c = 6.265 Å
α = 59.89°, β = 59.89°, γ = 90.00°
Fractional coordinates of all 8 atoms:
Ba1 0.750 0.250 0.500
Ba2 0.000 0.000 0.000
As1 0.375 0.625 0.750
As2 0.375 0.625 0.250
As3 0.375 0.125 0.250
As4 0.875 0.625 0.750
H1 0.500 0.500 0.000
H2 0.250 0.750 0.500